Entry 1:
A plane-wave DFT calculation with PBE with a Hubbard U was carried out for a geometry-optimized MgAlMoF2 structure.

```
MgAlMoF2
1.0
3.792 0.000 0.000
0.000 3.792 0.000
0.000 0.000 6.320
Mg Al Mo F
1 1 1 2
Direct
0.000 0.000 0.000
0.000 0.000 0.500
0.500 0.500 0.000
0.000 0.500 0.500
0.500 0.000 0.500
```

Properties
Final energy ... -20.173 eV per cell
DOS at the Fermi energy ... 1.12 states/eV/cell
Magnetic moment ... 3.3 μB per cell
Symmetry ... P4/mmm (123)
ρ ... 3.4 g cm⁻³

Entry 2:
A plane-wave DFT calculation with PBE with a Hubbard U was carried out for a geometry-optimized MgAl2MoF structure.

```
MgAl2MoF
1.0
5.217 0.000 0.000
0.000 5.217 0.000
0.000 0.000 4.158
Mg Al Mo F
1 2 1 1
Direct
0.000 0.000 0.000
0.000 0.500 0.500
0.500 0.000 0.500
0.500 0.500 0.500
0.500 0.500 0.000
```

Properties
Final energy ... -17.613 eV per cell
DOS at the Fermi energy ... 1.93 states/eV/cell
Magnetic moment ... 2.4 μB per cell
Symmetry ... P4/mmm (123)
ρ ... 2.8 g cm⁻³